Here is a relaxed structure of Ta11Al4 from OQMD via LeMat-Bulk. Energies are from PBE.

Space-group type   P4_2/mnm, No. 136
Electronic total energy   -291.85 eV per cell

The structure in extended XYZ format:
```
30
Lattice="-9.0495 -0.1166 -4.2395 0.3323 -9.9790 -0.4348 -2.2853 -0.2890 4.8861" Properties=species:S:1:pos:R:3 pbc="T T T"
Ta -4.3061 -7.1210 2.0427
Ta -7.6471 -8.2674 -2.5738
Ta -9.2748 -1.2254 -1.4244
Ta -8.7906 -8.4120 -0.1289
Al -4.5445 -8.6710 -2.6384
Al -7.6294 -5.4280 -3.8894
Ta -5.2109 -6.0349 -2.7941
Ta -1.7276 -9.1592 1.6362
Al -1.2372 -6.5082 2.0224
Ta -5.5012 -5.1923 0.1059
Ta 0.0000 0.0000 0.0000
Ta -5.9535 -7.8413 -0.2623
Ta -6.6337 -0.6815 -3.1430
Ta -2.0835 -9.4141 -1.5313
Ta -2.2118 -1.9726 0.3407
Al -6.8988 -0.5567 -0.2736
Ta -8.4212 -2.7517 -4.1015
Ta -0.2960 -7.3439 -0.5728
Ta -3.1251 -4.5657 1.2543
Al -4.1727 -1.4247 -2.0359
Ta -3.5063 -4.0607 -1.8801
Al -4.1037 -9.8279 0.4854
Al -1.0877 -4.6677 -0.7848
Ta -3.1643 -6.9767 -0.3985
Ta -5.0489 -2.5433 0.4741
Ta -3.3553 -2.1172 2.7856
Al -9.7652 -3.8764 -1.8106
Ta -6.6964 -3.2636 -1.8309
Ta -7.8382 -3.4080 0.6103
Ta -7.8773 -5.8190 -1.0425
```